VASP calculation (PBE-GGA) on a relaxed structure of BeNbCoRu.

Calculated values
**Symmetry**: Amm2 (38)
**ΔE_f**: -0.156 eV per atom
**DOS(E_F)**: 3.34 states/eV/cell

a b c (Å): 3.266 5.248 5.248
angles (deg): 34.69 90.00 90.00
Sites, in units of the cell vectors:
1 Be 0.000 0.000 0.000
2 Nb 0.000 0.257 0.257
3 Co 0.500 0.856 0.856
4 Ru 0.500 0.584 0.584